Entry 1:
DFT (SCAN) results for a crystal of Mg2CdBr relaxed with PBEsol.

Cell lengths 4.6082, 4.6082, 8.9225 Å; angles 90.00, 90.00, 90.00 degrees
With the nearest neighbours (Å) after each atom.
Element x y z (fractional)
Mg  0.0000  0.5000  0.2500  4 Cd 3.21, 4 Br 3.21, 4 Mg 3.26
Mg  0.0000  0.5000  0.7500  4 Cd 3.21, 4 Br 3.21, 4 Mg 3.26
Mg  0.5000  0.0000  0.2500  4 Cd 3.21, 4 Br 3.21, 4 Mg 3.26
Mg  0.5000  0.0000  0.7500  4 Cd 3.21, 4 Br 3.21, 4 Mg 3.26
Cd  0.0000  0.0000  0.0000  8 Mg 3.21, 4 Br 3.26
Cd  0.5000  0.5000  0.5000  8 Mg 3.21, 4 Br 3.26
Br  0.0000  0.0000  0.5000  8 Mg 3.21, 4 Cd 3.26
Br  0.5000  0.5000  0.0000  8 Mg 3.21, 4 Cd 3.26

Calculated values
Electronic total energy, hartree per atom: -0.5529
Distance to the lowest polymorph of the same formula, meV per atom: 251
Formation energy without anion corrections, eV/atom: -0.089

Entry 2:
DFT (SCAN) results for a crystal of MgCdBr2 relaxed with PBEsol.

Cell lengths 3.5033, 6.2207, 9.6924 Å; angles 90.00, 90.00, 90.00 degrees
With the nearest neighbours (Å) after each atom.
Element x y z (fractional)
Mg  0.0000  0.0000  0.0000  2 Br 2.59
Mg  0.5000  0.5000  0.5000  2 Br 2.59
Cd  0.0000  0.5000  0.7439  2 Br 2.84, 2 Mg 2.94
Cd  0.5000  0.0000  0.2439  2 Br 2.84, 2 Mg 2.94
Br  0.0000  0.0000  0.4741  2 Cd 2.84
Br  0.0000  0.5000  0.3035  2 Mg 2.59
Br  0.5000  0.0000  0.8035  2 Mg 2.59
Br  0.5000  0.5000  0.9741  2 Cd 2.84

Calculated values
Electronic total energy, hartree per atom: -0.7118
Distance to the lowest polymorph of the same formula, meV per atom: 70
Formation energy without anion corrections, eV/atom: -0.792

Entry 3:
DFT (SCAN) results for a crystal of Mg2CdBr relaxed with PBEsol.

Cell lengths 5.4035, 5.4035, 3.2628 Å; angles 90.00, 90.00, 90.00 degrees
With the nearest neighbours (Å) after each atom.
Element x y z (fractional)
Mg  0.0000  0.5000  0.0000  2 Br 2.71
Mg  0.5000  0.0000  0.0000  2 Br 2.71
Cd  0.0000  0.0000  0.5103  8 Mg 3.14-3.17, 2 Cd 3.26
Br  0.5000  0.5000  0.0542  4 Mg 2.71

Calculated values
Electronic total energy, hartree per atom: -0.5621
Distance to the lowest polymorph of the same formula, meV per atom: 0
Formation energy without anion corrections, eV/atom: -0.341

Q: distance to the lowest polymorph of the same formula of number 1 (Mg2CdBr)?
A: 251 meV per atom

Q: Number 3 is which compound?
A: Mg2CdBr

Q: What is the distance to the lowest polymorph of the same formula in the second record?
A: 70 meV per atom